Entry from Alexandria: a relaxed structure of PmDy8Y2 (PBE-GGA).

The structure belongs to space group Immm (No. 71); the cell edges are 5.534, 8.105 and 15.927 Å and the angles 90.00°, 90.00° and 90.00°. The asymmetric unit holds Pm at (0.000, 0.000, 0.000), Dy at (0.000, 0.206, 0.500), Dy at (0.000, 0.294, 0.137), Dy at (0.000, 0.500, 0.337) and Y at (0.000, 0.000, 0.300).

For the total magnetization, the calculation gives 0.00 μB per formula unit. For the energy relative to the lowest polymorph listed for this composition, the calculation gives 0.00 eV/f.u. The formation energy comes out at 0.117 eV per atom. For the final energy, the calculation gives -4.837 eV/atom. The volume is 714.4 Å³/cell.